# MnPb2O4 GGA+U optimized geometry
data_MnPb2O4
_chemical_formula_sum 'Mn2 Pb4 O8'
_cell_length_a 6.527
_cell_length_b 6.527
_cell_length_c 6.343
_cell_angle_alpha 90.00
_cell_angle_beta 90.00
_cell_angle_gamma 125.87
_space_group_name_H-M_alt 'P 1'
_space_group_IT_number 1
_space_group_name_Hall 'P 1'
loop_
_atom_site_label
_atom_site_type_symbol
_atom_site_fract_x
_atom_site_fract_y
_atom_site_fract_z
_atom_site_occupancy
Pb1 Pb 0.835 0.165 0.000 1
Pb2 Pb 0.835 0.165 0.500 1
Pb3 Pb 0.165 0.835 0.500 1
Pb4 Pb 0.165 0.835 0.000 1
O1 O 0.290 0.290 0.500 1
O2 O 0.290 0.290 0.000 1
O3 O 0.500 0.000 0.750 1
O4 O 0.000 0.500 0.250 1
O5 O 0.710 0.710 0.500 1
O6 O 0.000 0.500 0.750 1
O7 O 0.500 0.000 0.250 1
O8 O 0.710 0.710 0.000 1
Mn1 Mn 0.500 0.500 0.750 1
Mn2 Mn 0.500 0.500 0.250 1
# Fermi-level density of states, states/eV per atom: 0.402
# Space group: Cmmm
# Energy, eV/f.u.: -41.8
# Crystal system: orthorhombic